The following is a DFT calculation (PBE) of an optimized crystal structure of Sm3TmAs4.

final energy = -6.17 eV per atom
calculated formation energy = -1.516 eV per atom
offset from the most stable computed form = 0 meV/atom

a = 8.3530 Å, b = 11.8142 Å, c = 4.1808 Å
α = 90.00°, β = 90.00°, γ = 90.00°
With the nearest neighbours (Å) after each atom.
Space group Cmmm (No. 65)
Unique sites:
Sm 0.0000 0.0000 0.0000 [2 per cell]  6 As 2.99
Sm 0.2500 0.2500 0.5000 [4 per cell]  6 As 2.95
Tm 0.0000 0.5000 0.0000 [2 per cell]  6 As 2.92
As 0.0000 0.2532 0.0000 [4 per cell]  1 Tm 2.92, 5 Sm 2.95-2.99
As 0.2438 0.5000 0.5000 [4 per cell]  2 Tm 2.92, 4 Sm 2.95-2.99

The following is a DFT calculation (PBE) of an optimized crystal structure of Y3NiBr3.

final energy = -5.52 eV per atom
formation energy without anion corrections = -1.20 eV/atom

a = 8.6407 Å, b = 3.9670 Å, c = 11.6673 Å
α = 90.00°, β = 92.05°, γ = 90.00°
With the nearest neighbours (Å) after each atom.
Space group P2_1/m (No. 11)
Unique sites:
Y 0.1080 0.2500 0.3360 [2 per cell]  1 Ni 2.67, 4 Br 2.94-2.98
Y 0.1256 0.2500 0.8709 [2 per cell]  3 Ni 2.71-2.79
Y 0.2968 0.7500 0.1127 [2 per cell]  2 Ni 2.69, 1 Br 2.97
Ni 0.0855 0.2500 0.1069 [2 per cell]  6 Y 2.67-2.79
Br 0.1338 0.2500 0.6054 [2 per cell]  4 Y 2.98-3.14
Br 0.3568 0.7500 0.3650 [2 per cell]  3 Y 2.94-2.97
Br 0.4088 0.7500 0.8687 [2 per cell]  5 Y 3.04-3.23

The following is a DFT calculation (PBE) of an optimized crystal structure of Fe2HgBr6.

final energy = -3.44 eV per atom
formation energy without anion corrections = -0.41 eV/atom

a = 14.4958 Å, b = 14.4393 Å, c = 6.7138 Å
α = 90.00°, β = 112.86°, γ = 90.00°
With the nearest neighbours (Å) after each atom.
Space group C2/c (No. 15)
Unique sites:
Fe 0.2176 0.0761 0.3101 [8 per cell]  4 Br 2.38-2.45
Hg 0.0000 0.2909 0.2500 [4 per cell]  4 Br 2.73-2.79
Br 0.1073 0.4059 0.5968 [8 per cell]  1 Fe 2.38
Br 0.1251 0.2039 0.0942 [8 per cell]  1 Fe 2.41
Br 0.1665 0.0712 0.6182 [8 per cell]  2 Fe 2.45